Material: CeZn9Ni2
Method: DFT, PBE
State: optimized geometry

Unit cell a=8.6004 b=8.6004 c=2.8716 alpha=90.00 beta=90.00 gamma=120.00
With the nearest neighbours (Å) after each atom.
Space group P6/mmm (No. 191)
Asymmetric unit:
1 Ce 0.0000 0.0000 0.0000 [1 per cell]  2 Ce 2.87, 12 Zn 3.18
2 Zn 0.0000 0.5000 0.0000 [3 per cell]  2 Ni 2.48, 8 Zn 2.73
3 Zn 0.1904 0.3807 0.5000 [6 per cell]  2 Ni 2.57, 8 Zn 2.73-2.87
4 Ni 0.3333 0.6667 0.0000 [2 per cell]  9 Zn 2.48-2.57

Total energy ... -2.572 eV per atom
E_form ... -3.7 kcal/mol of atoms
Crystal system ... hexagonal